# 1
# TlInCu2 (PBE, optimized geometry)
data_TlInCu2
_chemical_formula_sum 'Tl2 In2 Cu4'
_space_group_name_H-M_alt 'I m m 2'
_space_group_IT_number 44
_cell_length_a 3.179
_cell_length_b 4.358
_cell_length_c 11.436
_cell_angle_alpha 90.00
_cell_angle_beta 90.00
_cell_angle_gamma 90.00
loop_
_space_group_symop_operation_xyz
'x,y,z'
'-x,-y,z'
'-x,y,z'
'x,-y,z'
'x+1/2,y+1/2,z+1/2'
'-x+1/2,-y+1/2,z+1/2'
'-x+1/2,y+1/2,z+1/2'
'x+1/2,-y+1/2,z+1/2'
loop_
_atom_site_label
_atom_site_type_symbol
_atom_site_fract_x
_atom_site_fract_y
_atom_site_fract_z
Tl1 Tl 0.000 0.000 0.000
In1 In 0.000 0.500 0.228
Cu1 Cu 0.000 0.000 0.402
Cu2 Cu 0.000 0.500 0.731
# Formation enthalpy at 0 K (eV per formula unit): 0.83
# Magnetic moment (μB/f.u.): 0.00

# 2
# Tl2InCu (PBE, optimized geometry)
data_Tl2InCu
_chemical_formula_sum 'Tl4 In2 Cu2'
_space_group_name_H-M_alt 'C 1 2/m 1'
_space_group_IT_number 12
_cell_length_a 14.834
_cell_length_b 3.210
_cell_length_c 4.551
_cell_angle_alpha 90.00
_cell_angle_beta 107.07
_cell_angle_gamma 90.00
loop_
_space_group_symop_operation_xyz
'x,y,z'
'-x,-y,-z'
'-x,y,-z'
'x,-y,z'
'x+1/2,y+1/2,z'
'-x+1/2,-y+1/2,-z'
'-x+1/2,y+1/2,-z'
'x+1/2,-y+1/2,z'
loop_
_atom_site_label
_atom_site_type_symbol
_atom_site_fract_x
_atom_site_fract_y
_atom_site_fract_z
Tl1 Tl 0.179 0.000 0.181
In1 In 0.000 0.000 0.500
Cu1 Cu 0.000 0.500 0.000
# Formation enthalpy at 0 K (eV per formula unit): 0.55
# Magnetic moment (μB/f.u.): 0.00

# 3
# TlInCu2 (PBE, optimized geometry)
data_TlInCu2
_chemical_formula_sum 'Tl4 In4 Cu8'
_space_group_name_H-M_alt 'F -4 3 m'
_space_group_IT_number 216
_space_group_name_Hall 'F -4 2 3'
_cell_length_a 6.813
_cell_length_b 6.813
_cell_length_c 6.813
_cell_angle_alpha 90.00
_cell_angle_beta 90.00
_cell_angle_gamma 90.00
loop_
_atom_site_label
_atom_site_type_symbol
_atom_site_fract_x
_atom_site_fract_y
_atom_site_fract_z
Tl1 Tl 0.000 0.000 0.000
In1 In 0.250 0.250 0.750
Cu1 Cu 0.000 0.000 0.500
Cu2 Cu 0.250 0.250 0.250
# Formation enthalpy at 0 K (eV per formula unit): 1.63
# Magnetic moment (μB/f.u.): 0.00

# 4
# Tl2In2Cu (PBE, optimized geometry)
data_Tl2In2Cu
_chemical_formula_sum 'Tl4 In4 Cu2'
_space_group_name_H-M_alt 'P 4/m b m'
_space_group_IT_number 127
_space_group_name_Hall '-P 4 2ab'
_cell_length_a 7.037
_cell_length_b 7.037
_cell_length_c 5.426
_cell_angle_alpha 90.00
_cell_angle_beta 90.00
_cell_angle_gamma 90.00
loop_
_atom_site_label
_atom_site_type_symbol
_atom_site_fract_x
_atom_site_fract_y
_atom_site_fract_z
Tl1 Tl 0.168 0.332 0.000
In1 In 0.157 0.657 0.500
Cu1 Cu 0.000 0.000 0.500
# Formation enthalpy at 0 K (eV per formula unit): 0.71
# Magnetic moment (μB/f.u.): 0.00

# 5
# Tl4InCu (PBE, optimized geometry)
data_Tl4InCu
_chemical_formula_sum 'Tl16 In4 Cu4'
_space_group_name_H-M_alt 'F -4 3 m'
_space_group_IT_number 216
_space_group_name_Hall 'F -4 2 3'
_cell_length_a 9.042
_cell_length_b 9.042
_cell_length_c 9.042
_cell_angle_alpha 90.00
_cell_angle_beta 90.00
_cell_angle_gamma 90.00
loop_
_atom_site_label
_atom_site_type_symbol
_atom_site_fract_x
_atom_site_fract_y
_atom_site_fract_z
Tl1 Tl 0.125 0.125 0.125
In1 In 0.000 0.000 0.500
Cu1 Cu 0.250 0.250 0.750
# Formation enthalpy at 0 K (eV per formula unit): 2.56
# Magnetic moment (μB/f.u.): 0.00

# 6
# TlInCu2 (PBE, optimized geometry)
data_TlInCu2
_chemical_formula_sum 'Tl1 In1 Cu2'
_space_group_name_H-M_alt 'P 1 m 1'
_space_group_IT_number 6
_cell_length_a 3.660
_cell_length_b 4.215
_cell_length_c 5.286
_cell_angle_alpha 90.00
_cell_angle_beta 109.54
_cell_angle_gamma 90.00
loop_
_space_group_symop_operation_xyz
'x,y,z'
'x,-y,z'
loop_
_atom_site_label
_atom_site_type_symbol
_atom_site_fract_x
_atom_site_fract_y
_atom_site_fract_z
Tl1 Tl 0.000 0.000 0.000
In1 In 0.291 0.500 0.593
Cu1 Cu 0.576 0.500 0.160
Cu2 Cu 0.721 0.000 0.446
# Formation enthalpy at 0 K (eV per formula unit): 0.61
# Magnetic moment (μB/f.u.): 0.00

# 7
# Tl2InCu (PBE, optimized geometry)
data_Tl2InCu
_chemical_formula_sum 'Tl2 In1 Cu1'
_space_group_name_H-M_alt 'P 1 m 1'
_space_group_IT_number 6
_cell_length_a 4.421
_cell_length_b 3.464
_cell_length_c 6.968
_cell_angle_alpha 90.00
_cell_angle_beta 107.91
_cell_angle_gamma 90.00
loop_
_space_group_symop_operation_xyz
'x,y,z'
'x,-y,z'
loop_
_atom_site_label
_atom_site_type_symbol
_atom_site_fract_x
_atom_site_fract_y
_atom_site_fract_z
Tl1 Tl 0.000 0.000 0.000
Tl2 Tl 0.324 0.500 0.646
In1 In 0.623 0.500 0.250
Cu1 Cu 0.790 0.000 0.575
# Formation enthalpy at 0 K (eV per formula unit): 0.64
# Magnetic moment (μB/f.u.): 0.00

# 8
# TlIn9Cu2 (PBE, optimized geometry)
data_TlIn9Cu2
_chemical_formula_sum 'Tl4 In36 Cu8'
_space_group_name_H-M_alt 'I 41/a m d'
_space_group_IT_number 141
_cell_length_a 12.289
_cell_length_b 12.289
_cell_length_c 8.061
_cell_angle_alpha 90.00
_cell_angle_beta 90.00
_cell_angle_gamma 90.00
loop_
_space_group_symop_operation_xyz
'x,y,z'
'-x,-y,-z'
'-y+1/4,x+3/4,z+1/4'
'y+1/4,-x+3/4,-z+1/4'
'-x+1/2,-y,z+1/2'
'x+1/2,y,-z+1/2'
'y+1/4,-x+1/4,z+3/4'
'-y+1/4,x+1/4,-z+3/4'
'x,-y,-z'
'-x,y,z'
'-y+1/4,-x+1/4,-z+3/4'
'y+1/4,x+1/4,z+3/4'
'-x+1/2,y,-z+1/2'
'x+1/2,-y,z+1/2'
'y+1/4,x+3/4,-z+1/4'
'-y+1/4,-x+3/4,z+1/4'
'x+1/2,y+1/2,z+1/2'
'-x+1/2,-y+1/2,-z+1/2'
'-y+3/4,x+1/4,z+3/4'
'y+3/4,-x+1/4,-z+3/4'
'-x,-y+1/2,z'
'x,y+1/2,-z'
'y+3/4,-x+3/4,z+1/4'
'-y+3/4,x+3/4,-z+1/4'
'x+1/2,-y+1/2,-z+1/2'
'-x+1/2,y+1/2,z+1/2'
'-y+3/4,-x+3/4,-z+1/4'
'y+3/4,x+3/4,z+1/4'
'-x,y+1/2,-z'
'x,-y+1/2,z'
'y+3/4,x+1/4,-z+3/4'
'-y+3/4,-x+1/4,z+3/4'
loop_
_atom_site_label
_atom_site_type_symbol
_atom_site_fract_x
_atom_site_fract_y
_atom_site_fract_z
Tl1 Tl 0.000 0.250 0.375
In1 In 0.000 0.250 0.875
In2 In 0.124 0.069 0.665
Cu1 Cu 0.000 0.000 0.000
# Formation enthalpy at 0 K (eV per formula unit): 1.07
# Magnetic moment (μB/f.u.): 0.00

# 9
# TlInCu2 (PBE, optimized geometry)
data_TlInCu2
_chemical_formula_sum 'Tl2 In2 Cu4'
_space_group_name_H-M_alt 'C m m m'
_space_group_IT_number 65
_space_group_name_Hall '-C 2 2'
_cell_length_a 6.497
_cell_length_b 7.280
_cell_length_c 3.178
_cell_angle_alpha 90.00
_cell_angle_beta 90.00
_cell_angle_gamma 90.00
loop_
_atom_site_label
_atom_site_type_symbol
_atom_site_fract_x
_atom_site_fract_y
_atom_site_fract_z
Tl1 Tl 0.000 0.000 0.000
In1 In 0.000 0.500 0.000
Cu1 Cu 0.250 0.250 0.500
# Formation enthalpy at 0 K (eV per formula unit): 1.08
# Magnetic moment (μB/f.u.): 0.00

# 10
# Tl2InCu (PBE, optimized geometry)
data_Tl2InCu
_chemical_formula_sum 'Tl4 In2 Cu2'
_space_group_name_H-M_alt 'C m m m'
_space_group_IT_number 65
_space_group_name_Hall '-C 2 2'
_cell_length_a 6.265
_cell_length_b 9.767
_cell_length_c 3.316
_cell_angle_alpha 90.00
_cell_angle_beta 90.00
_cell_angle_gamma 90.00
loop_
_atom_site_label
_atom_site_type_symbol
_atom_site_fract_x
_atom_site_fract_y
_atom_site_fract_z
Tl1 Tl 0.250 0.250 0.000
In1 In 0.000 0.000 0.500
Cu1 Cu 0.000 0.500 0.500
# Formation enthalpy at 0 K (eV per formula unit): 1.17
# Magnetic moment (μB/f.u.): 0.00

# 11
# TlInCu2 (PBE, optimized geometry)
data_TlInCu2
_chemical_formula_sum 'Tl4 In4 Cu8'
_space_group_name_H-M_alt 'F m -3 m'
_space_group_IT_number 225
_space_group_name_Hall '-F 4 2 3'
_cell_length_a 6.704
_cell_length_b 6.704
_cell_length_c 6.704
_cell_angle_alpha 90.00
_cell_angle_beta 90.00
_cell_angle_gamma 90.00
loop_
_atom_site_label
_atom_site_type_symbol
_atom_site_fract_x
_atom_site_fract_y
_atom_site_fract_z
Tl1 Tl 0.000 0.000 0.000
In1 In 0.000 0.000 0.500
Cu1 Cu 0.250 0.250 0.250
# Formation enthalpy at 0 K (eV per formula unit): 1.09
# Magnetic moment (μB/f.u.): 0.00

# 12
# TlIn2Cu2 (PBE, optimized geometry)
data_TlIn2Cu2
_chemical_formula_sum 'Tl2 In4 Cu4'
_space_group_name_H-M_alt 'I 4/m m m'
_space_group_IT_number 139
_space_group_name_Hall '-I 4 2'
_cell_length_a 4.336
_cell_length_b 4.336
_cell_length_c 11.748
_cell_angle_alpha 90.00
_cell_angle_beta 90.00
_cell_angle_gamma 90.00
loop_
_atom_site_label
_atom_site_type_symbol
_atom_site_fract_x
_atom_site_fract_y
_atom_site_fract_z
Tl1 Tl 0.000 0.000 0.000
In1 In 0.000 0.500 0.250
Cu1 Cu 0.000 0.000 0.396
# Formation enthalpy at 0 K (eV per formula unit): 0.95
# Magnetic moment (μB/f.u.): 0.00